Density functional theory data (PBE) for a geometry-optimized Be2ReAu2 structure.

Computed properties:
DFT total energy ... -5.145 eV/atom
Formation energy from the elements ... 0.146 eV/atom
Magnetic moment ... 0.0 μB per cell
Crystal system ... tetragonal

Cell: 6.8263 6.8263 2.8293 Å, 90.00 90.00 90.00°
With the nearest neighbours (Å) after each atom.
Space group P4/mbm (No. 127)
Inequivalent atoms, fractional coordinates:
Be: 0.1393 0.3607 0.0000 [4 per cell]  6 Au 2.39-2.49, 2 Re 2.64
Re: 0.0000 0.0000 0.0000 [2 per cell]  4 Be 2.64, 2 Re 2.83, 8 Au 2.93
Au: 0.1606 0.6606 0.5000 [4 per cell]  6 Be 2.39-2.49

=====

Density functional theory data (PBE) for a geometry-optimized MoAsW structure.

Computed properties:
DFT total energy ... -9.004 eV/atom
Formation energy from the elements ... 0.474 eV/atom
Magnetic moment ... 0.0 μB per cell
Crystal system ... cubic

Cell: 6.0395 6.0395 6.0395 Å, 90.00 90.00 90.00°
With the nearest neighbours (Å) after each atom.
Space group F-43m (No. 216)
Inequivalent atoms, fractional coordinates:
Mo: 0.0000 0.0000 0.0000 [4 per cell]  4 W 2.62, 4 As 2.62
As: 0.2500 0.2500 0.2500 [4 per cell]  4 Mo 2.62
W: 0.2500 0.2500 0.7500 [4 per cell]  4 Mo 2.62

=====

Density functional theory data (PBE) for a geometry-optimized TbYPuTh structure.

Computed properties:
DFT total energy ... -7.998 eV/atom
Formation energy from the elements ... 0.213 eV/atom
Magnetic moment ... 32.3 μB per cell
Crystal system ... cubic

Cell: 7.9040 7.9040 7.9040 Å, 90.00 90.00 90.00°
With the nearest neighbours (Å) after each atom.
Space group F-43m (No. 216)
Inequivalent atoms, fractional coordinates:
Tb: 0.0000 0.0000 0.0000 [4 per cell]  4 Pu 3.42, 4 Y 3.42
Y: 0.2500 0.2500 0.7500 [4 per cell]  4 Tb 3.42, 4 Th 3.42
Pu: 0.2500 0.2500 0.2500 [4 per cell]  4 Tb 3.42, 4 Th 3.42
Th: 0.0000 0.0000 0.5000 [4 per cell]  4 Pu 3.42, 4 Y 3.42

=====

Density functional theory data (PBE) for a geometry-optimized PrDyHo2 structure.

Computed properties:
DFT total energy ... -4.589 eV/atom
Formation energy from the elements ... 0.046 eV/atom
Magnetic moment ... 0.0 μB per cell
Crystal system ... orthorhombic

Cell: 3.5413 5.4620 13.4923 Å, 90.00 90.00 90.00°
With the nearest neighbours (Å) after each atom.
Space group Pmmn (No. 59, origin choice 2)
Inequivalent atoms, fractional coordinates:
Pr: 0.2500 0.2500 0.2021 [2 per cell]  2 Pr 3.54, 7 Ho 3.58-3.88, 4 Dy 3.59
Dy: 0.2500 0.2500 0.6850 [2 per cell]  5 Ho 3.34-3.54, 2 Dy 3.54, 4 Pr 3.59
Ho: 0.2500 0.2500 0.9366 [2 per cell]  1 Dy 3.40, 6 Ho 3.54-3.68, 5 Pr 3.58-3.75
Ho: 0.2500 0.7500 0.5421 [2 per cell]  4 Dy 3.34-3.54, 6 Ho 3.45-3.54

=====

Density functional theory data (PBE) for a geometry-optimized Cu2SbAs2 structure.

Computed properties:
DFT total energy ... -4.082 eV/atom
Magnetic moment ... 0.0 μB per cell
Crystal system ... tetragonal

Cell: 7.8189 7.8189 2.9909 Å, 90.00 90.00 90.00°
With the nearest neighbours (Å) after each atom.
Space group P4/mbm (No. 127)
Inequivalent atoms, fractional coordinates:
Cu: 0.1157 0.3843 0.0000 [4 per cell]  1 Cu 2.56, 6 As 2.75-2.76
Sb: 0.0000 0.0000 0.5000 [2 per cell]  4 As 2.89, 2 Sb 2.99
As: 0.1740 0.6740 0.5000 [4 per cell]  6 Cu 2.75-2.76, 2 Sb 2.89, 2 As 2.99

=====

Density functional theory data (PBE) for a geometry-optimized LaTmGe structure.

Computed properties:
DFT total energy ... -5.185 eV/atom
Formation energy from the elements ... -0.513 eV/atom
Magnetic moment ... 0.0 μB per cell
Crystal system ... cubic

Cell: 7.0692 7.0692 7.0692 Å, 90.00 90.00 90.00°
With the nearest neighbours (Å) after each atom.
Space group F-43m (No. 216)
Inequivalent atoms, fractional coordinates:
La: 0.0000 0.0000 0.0000 [4 per cell]  4 Ge 3.06
Tm: 0.0000 0.0000 0.5000 [4 per cell]  4 Ge 3.06
Ge: 0.2500 0.2500 0.2500 [4 per cell]  4 La 3.06, 4 Tm 3.06

=====

Question: Which value of magnetic moment does entry 4 give?
Answer: 0.0 μB per cell